! Ge2Cl3F, relaxed, DFT PBE-GGA; values from VASP
! **ΔE_f (raw)**: -1038.3 meV per atom
! **Calculated volume**: 30.26 Å³/atom
! **SG**: C2/m, No. 12
&SYSTEM
  ibrav = 0, nat = 12, ntyp = 3
/
ATOMIC_SPECIES
Ge 72.64 Ge.upf
Cl 35.45 Cl.upf
F 19.00 F.upf
ATOMIC_POSITIONS angstrom
Ge 0.992 0.000 1.865
Ge 3.861 0.000 5.766
Ge 16.646 0.000 2.990
Ge 19.515 0.000 6.891
Cl -0.791 0.000 7.344
Cl 6.413 0.000 1.711
Cl 8.402 0.000 5.180
Cl 12.105 0.000 3.576
Cl 14.093 0.000 7.045
Cl 21.297 0.000 1.412
F 5.368 0.000 6.732
F 15.138 0.000 2.024
CELL_PARAMETERS angstrom
11.255 -1.842 0.000
11.255 1.842 0.000
-2.004 0.000 8.756